TlVClF2: optimized geometry, GGA+U.

Lattice parameters (Å, degrees): 4.5400 6.0649 4.5400 90.00 90.00 90.00
Closest atoms and distances in Å follow each position.
Positions (direct):
1 Tl 0.0000 0.0000 0.0000  4 F 2.27
2 Cl 0.0000 0.5000 0.0000  2 Tl 3.03, 4 V 3.21
3 F 0.0000 0.0000 0.5000  2 Tl 2.27
4 F 0.5000 0.0000 0.0000  2 Tl 2.27
5 V 0.5000 0.5000 0.5000  4 Cl 3.21

Results
- electronic total energy (eV per atom) = -3.8569
- symmetry = P4/mmm (123)
- volume (Å³/atom) = 25.00